(1)
# LaCeRh4 (SCAN, PBEsol geometry)
data_LaCeRh4
_cell_length_a 5.302
_cell_length_b 5.302
_cell_length_c 5.302
_cell_angle_alpha 60.00
_cell_angle_beta 60.00
_cell_angle_gamma 60.00
_symmetry_space_group_name_H-M 'P 1'
_symmetry_Int_Tables_number 1
_symmetry_space_group_name_Hall 'P 1'
loop_
_atom_site_label
_atom_site_type_symbol
_atom_site_fract_x
_atom_site_fract_y
_atom_site_fract_z
_atom_site_occupancy
Rh1 Rh 0.126 0.625 0.625 1
Ce1 Ce 0.250 0.250 0.250 1
Rh2 Rh 0.625 0.126 0.625 1
La1 La 0.000 0.000 0.000 1
Rh3 Rh 0.625 0.625 0.126 1
Rh4 Rh 0.625 0.625 0.625 1
# - Calculated volume: 17.6 A^3/atom
# - DOS(E_F): 0.8642 states/eV per atom
# - Space-group type: F-43m (216)
# - Calculated total energy: -37.883 eV/atom

(2)
# LaCeRu4 (SCAN, PBEsol geometry)
data_LaCeRu4
_cell_length_a 5.313
_cell_length_b 5.313
_cell_length_c 5.313
_cell_angle_alpha 60.00
_cell_angle_beta 60.00
_cell_angle_gamma 60.00
_symmetry_space_group_name_H-M 'P 1'
_symmetry_Int_Tables_number 1
_symmetry_space_group_name_Hall 'P 1'
loop_
_atom_site_label
_atom_site_type_symbol
_atom_site_fract_x
_atom_site_fract_y
_atom_site_fract_z
_atom_site_occupancy
La1 La 0.000 0.000 0.000 1
Ru1 Ru 0.375 0.375 0.874 1
Ru2 Ru 0.375 0.874 0.375 1
Ru3 Ru 0.375 0.375 0.375 1
Ce1 Ce 0.750 0.750 0.750 1
Ru4 Ru 0.874 0.375 0.375 1
# - Calculated volume: 17.7 A^3/atom
# - DOS(E_F): 0.6403 states/eV per atom
# - Space-group type: F-43m (216)
# - Calculated total energy: -38.046 eV/atom

(3)
# La2CeTe4 (SCAN, PBEsol geometry)
data_La2CeTe4
_cell_length_a 8.199
_cell_length_b 8.199
_cell_length_c 8.199
_cell_angle_alpha 109.48
_cell_angle_beta 109.48
_cell_angle_gamma 109.45
_symmetry_space_group_name_H-M 'P 1'
_symmetry_Int_Tables_number 1
_symmetry_space_group_name_Hall 'P 1'
loop_
_atom_site_label
_atom_site_type_symbol
_atom_site_fract_x
_atom_site_fract_y
_atom_site_fract_z
_atom_site_occupancy
Ce1 Ce 0.750 0.250 0.500 1
La1 La 0.248 0.375 0.373 1
Ce2 Ce 0.500 0.500 0.000 1
Te1 Te 0.378 0.127 0.097 1
La2 La 0.625 0.998 0.873 1
Te2 Te 0.220 0.623 0.751 1
Te3 Te 0.872 0.469 0.249 1
Te4 Te 0.531 0.780 0.403 1
La3 La 0.002 0.875 0.627 1
La4 La 0.125 0.752 0.127 1
Te5 Te 0.030 0.281 0.903 1
Te6 Te 0.873 0.970 0.251 1
Te7 Te 0.719 0.622 0.749 1
Te8 Te 0.377 0.128 0.597 1
# - E_form (uncorrected): -1.707 eV per atom
# - Calculated volume: 30.3 A^3/atom
# - DOS(E_F): 0.8218 states/eV per atom
# - Space-group type: I-42d (122)